No. 1
MgCdPb2: single point on PBEsol structure, SCAN.

## Properties
Calculated volume = 104 Å³/f.u.
Energy of formation from the pure elements = -0.033 eV per atom
Excess energy over the best structure of this formula in the dataset = 0.024 eV per atom

The structure in CIF format:
```
data_MgCdPb2
_symmetry_space_group_name_H-M 'C 1 2/m 1'
_symmetry_Int_Tables_number 12
_symmetry_space_group_name_Hall '-C 2y'
_cell_length_a 10.1488
_cell_length_b 3.4607
_cell_length_c 6.0568
_cell_angle_alpha 90.00
_cell_angle_beta 101.13
_cell_angle_gamma 90.00
loop_
_atom_site_label
_atom_site_fract_x
_atom_site_fract_y
_atom_site_fract_z
Mg1 0.0000 0.0000 0.0000
Cd1 0.0000 0.5000 0.5000
Pb1 0.2492 0.5000 0.2484
```



No. 2
ZrMoSe2: single point on PBEsol structure, SCAN.

## Properties
Calculated volume = 72 Å³/f.u.
ΔE_f (raw) = -0.153 eV per atom
Excess energy over the best structure of this formula in the dataset = 0.401 eV per atom

The structure in CIF format:
```
data_ZrMoSe2
_symmetry_space_group_name_H-M 'I -4 m 2'
_symmetry_Int_Tables_number 119
_symmetry_space_group_name_Hall 'I -4 -2'
_cell_length_a 3.6699
_cell_length_b 3.6699
_cell_length_c 10.6184
_cell_angle_alpha 90.00
_cell_angle_beta 90.00
_cell_angle_gamma 90.00
loop_
_atom_site_label
_atom_site_fract_x
_atom_site_fract_y
_atom_site_fract_z
Zr1 0.0000 0.0000 0.0000
Mo1 0.0000 0.5000 0.2500
Se1 0.0000 0.0000 0.5000
Se2 0.0000 0.5000 0.7500
```



No. 3
TlCdReI2: single point on PBEsol structure, SCAN.

## Properties
Calculated volume = 152 Å³/f.u.
ΔE_f (raw) = 0.650 eV per atom

The structure in CIF format:
```
data_TlCdReI2
_symmetry_space_group_name_H-M 'P 4/m m m'
_symmetry_Int_Tables_number 123
_symmetry_space_group_name_Hall '-P 4 2'
_cell_length_a 5.3454
_cell_length_b 5.3454
_cell_length_c 5.3296
_cell_angle_alpha 90.00
_cell_angle_beta 90.00
_cell_angle_gamma 90.00
loop_
_atom_site_label
_atom_site_fract_x
_atom_site_fract_y
_atom_site_fract_z
Tl1 0.0000 0.0000 0.0000
Cd1 0.5000 0.5000 0.0000
Re1 0.5000 0.5000 0.5000
I1 0.0000 0.5000 0.5000
```



No. 4
ZnSiAg2: single point on PBEsol structure, SCAN.

## Properties
Calculated volume = 62 Å³/f.u.
ΔE_f (raw) = 0.224 eV per atom
Excess energy over the best structure of this formula in the dataset = 0.016 eV per atom

The structure in CIF format:
```
data_ZnSiAg2
_symmetry_space_group_name_H-M 'I -4 m 2'
_symmetry_Int_Tables_number 119
_symmetry_space_group_name_Hall 'I -4 -2'
_cell_length_a 3.9044
_cell_length_b 3.9044
_cell_length_c 8.1240
_cell_angle_alpha 90.00
_cell_angle_beta 90.00
_cell_angle_gamma 90.00
loop_
_atom_site_label
_atom_site_fract_x
_atom_site_fract_y
_atom_site_fract_z
Zn1 0.0000 0.0000 0.0000
Si1 0.0000 0.5000 0.7500
Ag1 0.0000 0.0000 0.5000
Ag2 0.0000 0.5000 0.2500
```



No. 5
Y2IrPb: single point on PBEsol structure, SCAN.

## Properties
Calculated volume = 97 Å³/f.u.
Energy of formation from the pure elements = -0.275 eV per atom

The structure in CIF format:
```
data_Y2IrPb
_symmetry_space_group_name_H-M 'P 4 m m'
_symmetry_Int_Tables_number 99
_symmetry_space_group_name_Hall 'P 4 -2'
_cell_length_a 3.4288
_cell_length_b 3.4288
_cell_length_c 8.2209
_cell_angle_alpha 90.00
_cell_angle_beta 90.00
_cell_angle_gamma 90.00
loop_
_atom_site_label
_atom_site_fract_x
_atom_site_fract_y
_atom_site_fract_z
Y1 0.0000 0.0000 0.0000
Y2 0.5000 0.5000 0.3485
Ir1 0.0000 0.0000 0.5422
Pb1 0.5000 0.5000 0.7393
```



No. 6
RhS2BrCl: single point on PBEsol structure, SCAN.

## Properties
Calculated volume = 98 Å³/f.u.
ΔE_f (raw) = 0.318 eV per atom

The structure in CIF format:
```
data_RhS2BrCl
_symmetry_space_group_name_H-M 'P 4/m m m'
_symmetry_Int_Tables_number 123
_symmetry_space_group_name_Hall '-P 4 2'
_cell_length_a 4.5548
_cell_length_b 4.5548
_cell_length_c 4.7461
_cell_angle_alpha 90.00
_cell_angle_beta 90.00
_cell_angle_gamma 90.00
loop_
_atom_site_label
_atom_site_fract_x
_atom_site_fract_y
_atom_site_fract_z
Rh1 0.0000 0.0000 0.0000
S1 0.0000 0.5000 0.0000
Br1 0.5000 0.5000 0.5000
Cl1 0.0000 0.0000 0.5000
```



Number 1: theoretical density 8.8 g/cm³, calculated total energy -46.77 eV/atom. Number 2: theoretical density 8.0 g/cm³, calculated total energy -26.59 eV/atom. Number 3: theoretical density 8.3 g/cm³, calculated total energy -48.82 eV/atom. Number 4: theoretical density 8.3 g/cm³, calculated total energy -21.34 eV/atom. Number 5: theoretical density 9.9 g/cm³, calculated total energy -50.92 eV/atom. Number 6: theoretical density 4.8 g/cm³, calculated total energy -15.77 eV/atom.